(1)
First-principles (PBEsol) data for crystalline K3VO4 at its relaxed geometry, as listed in Alexandria.

Properties
For the uncorrected formation energy, the calculation gives -2162 meV per atom. The crystal system is cubic. As for the magnetization: 0.004 μB/cell. The raw total energy comes out at -0.236 hartree per atom. For the density, the calculation gives 2.8 Mg/m³.

CIF file:
```
data_K3VO4
_cell_length_a 8.244
_cell_length_b 8.244
_cell_length_c 8.244
_cell_angle_alpha 90.00
_cell_angle_beta 90.00
_cell_angle_gamma 90.00
_space_group_name_H-M_alt 'P 21 3'
_space_group_IT_number 198
_space_group_name_Hall 'P 2ac 2ab 3'
loop_
_atom_site_label
_atom_site_type_symbol
_atom_site_fract_x
_atom_site_fract_y
_atom_site_fract_z
_atom_site_occupancy
K1 K 0.012 0.488 0.512 1
K2 K 0.036 0.536 0.964 1
K3 K 0.218 0.218 0.218 1
V1 V 0.237 0.263 0.737 1
O1 O 0.035 0.245 0.791 1
O2 O 0.144 0.856 0.356 1
```

(2)
First-principles (PBEsol) data for crystalline Ho at its relaxed geometry, as listed in Alexandria.

Properties
As for the energy relative to the elements: 0.072 eV per atom. The crystal system is hexagonal. As for the magnetization: 0.002 μB/cell. The raw total energy comes out at -0.179 hartree per atom. For the density, the calculation gives 9.5 Mg/m³.

CIF file:
```
data_Ho
_cell_length_a 5.4421
_cell_length_b 5.4421
_cell_length_c 3.3757
_cell_angle_alpha 90.00
_cell_angle_beta 90.00
_cell_angle_gamma 120.00
_space_group_name_H-M_alt 'P 6/m m m'
_space_group_IT_number 191
_space_group_name_Hall '-P 6 2'
loop_
_atom_site_label
_atom_site_type_symbol
_atom_site_fract_x
_atom_site_fract_y
_atom_site_fract_z
_atom_site_occupancy
Ho1 Ho 0.0000 0.0000 0.0000 1
Ho2 Ho 0.3333 0.6667 0.5000 1
```

(3)
First-principles (PBEsol) data for crystalline MgBe2Pt2 at its relaxed geometry, as listed in Alexandria.

Properties
As for the energy relative to the elements: -0.567 eV per atom. The crystal system is tetragonal. As for the magnetization: 0.000 μB/cell. The raw total energy comes out at -0.195 hartree per atom. For the density, the calculation gives 10.6 Mg/m³.

CIF file:
```
data_MgBe2Pt2
_cell_length_a 3.402
_cell_length_b 3.402
_cell_length_c 11.691
_cell_angle_alpha 90.00
_cell_angle_beta 90.00
_cell_angle_gamma 90.00
_space_group_name_H-M_alt 'I 4/m m m'
_space_group_IT_number 139
_space_group_name_Hall '-I 4 2'
loop_
_atom_site_label
_atom_site_type_symbol
_atom_site_fract_x
_atom_site_fract_y
_atom_site_fract_z
_atom_site_occupancy
Mg1 Mg 0.000 0.000 0.000 1
Be1 Be 0.000 0.500 0.250 1
Pt1 Pt 0.000 0.000 0.382 1
```

(4)
First-principles (PBEsol) data for crystalline Ba2Sn2Pd at its relaxed geometry, as listed in Alexandria.

Properties
As for the energy relative to the elements: -0.314 eV per atom. The crystal system is tetragonal. As for the magnetization: 0.000 μB/cell. The raw total energy comes out at -0.150 hartree per atom. For the density, the calculation gives 6.3 Mg/m³.

CIF file:
```
data_Ba2Sn2Pd
_cell_length_a 4.128
_cell_length_b 4.128
_cell_length_c 19.263
_cell_angle_alpha 90.00
_cell_angle_beta 90.00
_cell_angle_gamma 90.00
_space_group_name_H-M_alt 'I 4/m m m'
_space_group_IT_number 139
_space_group_name_Hall '-I 4 2'
loop_
_atom_site_label
_atom_site_type_symbol
_atom_site_fract_x
_atom_site_fract_y
_atom_site_fract_z
_atom_site_occupancy
Ba1 Ba 0.000 0.000 0.093 1
Sn1 Sn 0.000 0.500 0.250 1
Pd1 Pd 0.000 0.000 0.500 1
```

(5)
First-principles (PBEsol) data for crystalline ZrTlHg2 at its relaxed geometry, as listed in Alexandria.

Properties
As for the energy relative to the elements: 0.113 eV per atom. The crystal system is cubic. As for the magnetization: 0.001 μB/cell. The raw total energy comes out at -0.114 hartree per atom. For the density, the calculation gives 13.2 Mg/m³.

CIF file:
```
data_ZrTlHg2
_cell_length_a 7.056
_cell_length_b 7.056
_cell_length_c 7.056
_cell_angle_alpha 90.00
_cell_angle_beta 90.00
_cell_angle_gamma 90.00
_space_group_name_H-M_alt 'F -4 3 m'
_space_group_IT_number 216
_space_group_name_Hall 'F -4 2 3'
loop_
_atom_site_label
_atom_site_type_symbol
_atom_site_fract_x
_atom_site_fract_y
_atom_site_fract_z
_atom_site_occupancy
Zr1 Zr 0.000 0.000 0.000 1
Tl1 Tl 0.250 0.250 0.250 1
Hg1 Hg 0.000 0.000 0.500 1
Hg2 Hg 0.250 0.250 0.750 1
```

(6)
First-principles (PBEsol) data for crystalline TlAs2Ir at its relaxed geometry, as listed in Alexandria.

Properties
As for the energy relative to the elements: 0.169 eV per atom. The crystal system is tetragonal. As for the magnetization: 0.000 μB/cell. The raw total energy comes out at -0.202 hartree per atom. For the density, the calculation gives 8.8 Mg/m³.

CIF file:
```
data_TlAs2Ir
_cell_length_a 6.160
_cell_length_b 6.160
_cell_length_c 10.859
_cell_angle_alpha 90.00
_cell_angle_beta 90.00
_cell_angle_gamma 90.00
_space_group_name_H-M_alt 'I -4 2 d'
_space_group_IT_number 122
_space_group_name_Hall 'I -4 2bw'
loop_
_atom_site_label
_atom_site_type_symbol
_atom_site_fract_x
_atom_site_fract_y
_atom_site_fract_z
_atom_site_occupancy
Tl1 Tl 0.000 0.000 0.000 1
As1 As 0.183 0.250 0.625 1
Ir1 Ir 0.000 0.000 0.500 1
```

> density of number 4 (Ba2Sn2Pd)?

6.3 Mg/m³

> What is the raw total energy in the fifth record?

-0.114 hartree per atom

> Look up the magnetization of the first one.

0.004 μB/cell